The following is a PBE calculation of a geometry-optimized Ba2RuNCl structure, from Alexandria via LeMat-Bulk.

As for the crystal system: tetragonal.

a = 5.7777 Å, b = 5.7777 Å, c = 3.8255 Å
α = 90.00°, β = 90.00°, γ = 90.00°
Closest atoms and distances in Å follow each position.
Fractional coordinates of all 5 atoms:
1 Ru 0.0000 0.0000 0.5000  2 N 1.91
2 Cl 0.5000 0.5000 0.5000  8 Ba 3.46, 2 Cl 3.83
3 Ba 0.0000 0.5000 0.0000  2 N 2.89
4 Ba 0.5000 0.0000 0.0000  2 N 2.89
5 N 0.0000 0.0000 0.0000  2 Ru 1.91



The following is a PBE calculation of a geometry-optimized CaY2InS structure, from Alexandria via LeMat-Bulk.

As for the crystal system: tetragonal.

a = 5.2145 Å, b = 5.2145 Å, c = 5.2134 Å
α = 90.00°, β = 90.00°, γ = 90.00°
Closest atoms and distances in Å follow each position.
Fractional coordinates of all 5 atoms:
1 Y 0.5000 0.0000 0.0000  2 S 2.61
2 Y 0.0000 0.5000 0.0000  2 S 2.61
3 S 0.0000 0.0000 0.0000  2 Ca 2.61, 4 Y 2.61
4 In 0.5000 0.5000 0.5000  8 Y 3.69, 4 Ca 3.69
5 Ca 0.0000 0.0000 0.5000  2 S 2.61



Let's list energy relative to the elements, uncorrected in order: -0.930; -0.901 eV per atom.
Let's list raw total energy in order: -5.5887; -5.2603 eV/atom.
Let's list mass density in order: 5.5; 4.3 g cm⁻³.